An optimized crystal structure of Rb5CdSb2, computed with PBE.

Output
- Symmetry: R-3m
- Uncorrected formation energy: -300 meV/atom
- Total magnetic moment: 0.00 μB per formula unit

Cell: 11.052 11.052 11.052 Å, 33.86 33.86 33.86°
Element x y z (fractional)
Rb: 0.000 0.000 0.000
Rb: 0.128 0.128 0.128
Rb: 0.280 0.280 0.280
Rb: 0.720 0.720 0.720
Rb: 0.872 0.872 0.872
Cd: 0.500 0.500 0.500
Sb: 0.410 0.410 0.410
Sb: 0.590 0.590 0.590


An optimized crystal structure of SmDyCuHg, computed with PBE.

Output
- Distance to the lowest polymorph of the same formula: 0.0 meV/atom
- Symmetry: P4mm
- Calculated formation energy: -336.7 meV per atom
- Total magnetic moment: 0.00 μB per formula unit

Cell: 3.591 3.591 7.467 Å, 90.00 90.00 90.00°
Element x y z (fractional)
Sm: 0.000 0.000 0.000
Dy: 0.000 0.000 0.457
Cu: 0.500 0.500 0.243
Hg: 0.500 0.500 0.720


An optimized crystal structure of Ba4Sr4Mg, computed with PBE.

Output
- Symmetry: I4/m
- Calculated formation energy: 16.2 meV per atom
- Total magnetic moment: 0.00 μB per formula unit

Cell: 10.524 10.524 10.524 Å, 92.82 92.82 154.37°
Element x y z (fractional)
Ba: 0.149 0.154 0.303
Ba: 0.154 0.851 0.004
Ba: 0.846 0.149 0.996
Ba: 0.851 0.846 0.697
Sr: 0.160 0.495 0.655
Sr: 0.495 0.840 0.335
Sr: 0.505 0.160 0.665
Sr: 0.840 0.505 0.345
Mg: 0.500 0.500 0.000


Copy entry 1 word for word.
An optimized crystal structure of Rb5CdSb2, computed with PBE.

Output
- Symmetry: R-3m
- Uncorrected formation energy: -300 meV/atom
- Total magnetic moment: 0.00 μB per formula unit

Cell: 11.052 11.052 11.052 Å, 33.86 33.86 33.86°
Element x y z (fractional)
Rb: 0.000 0.000 0.000
Rb: 0.128 0.128 0.128
Rb: 0.280 0.280 0.280
Rb: 0.720 0.720 0.720
Rb: 0.872 0.872 0.872
Cd: 0.500 0.500 0.500
Sb: 0.410 0.410 0.410
Sb: 0.590 0.590 0.590


Repeat the third record exactly.
An optimized crystal structure of Ba4Sr4Mg, computed with PBE.

Output
- Symmetry: I4/m
- Calculated formation energy: 16.2 meV per atom
- Total magnetic moment: 0.00 μB per formula unit

Cell: 10.524 10.524 10.524 Å, 92.82 92.82 154.37°
Element x y z (fractional)
Ba: 0.149 0.154 0.303
Ba: 0.154 0.851 0.004
Ba: 0.846 0.149 0.996
Ba: 0.851 0.846 0.697
Sr: 0.160 0.495 0.655
Sr: 0.495 0.840 0.335
Sr: 0.505 0.160 0.665
Sr: 0.840 0.505 0.345
Mg: 0.500 0.500 0.000